An optimized crystal structure of CeTmScHg, computed with PBE.

a = 7.293 Å, b = 7.293 Å, c = 7.293 Å
α = 90.00°, β = 90.00°, γ = 90.00°
Space group F-43m (No. 216)
Inequivalent atoms, fractional coordinates:
Ce 0.000 0.000 0.000
Tm 0.250 0.250 0.750
Sc 0.250 0.250 0.250
Hg 0.000 0.000 0.500

Values from the calculation:
volume = 24.24 Å³/atom
total DFT energy (no corrections) = -4.261 eV/atom

---

An optimized crystal structure of CeSc2ZnHg4, computed with PBE.

a = 4.8576 Å, b = 4.8576 Å, c = 27.3744 Å
α = 90.00°, β = 90.00°, γ = 120.00°
Space group R-3m (No. 166, hexagonal axes)
Inequivalent atoms, fractional coordinates:
Ce 0.0000 0.0000 0.0000
Sc 0.0000 0.0000 0.2367
Zn 0.0000 0.0000 0.5000
Hg 0.0000 0.0000 0.1260
Hg 0.0000 0.0000 0.3891

Values from the calculation:
volume = 23.31 Å³/atom
total DFT energy (no corrections) = -2.896 eV/atom